No. 1
Computed, not measured: PmNdBi after structural relaxation at the GGA-PBE level of DFT.

The structure in CIF format:
```
data_PmNdBi
_symmetry_space_group_name_H-M 'F -4 3 m'
_symmetry_Int_Tables_number 216
_symmetry_space_group_name_Hall 'F -4 2 3'
_cell_length_a 7.5270
_cell_length_b 7.5270
_cell_length_c 7.5270
_cell_angle_alpha 90.00
_cell_angle_beta 90.00
_cell_angle_gamma 90.00
loop_
_atom_site_label
_atom_site_type_symbol
_atom_site_fract_x
_atom_site_fract_y
_atom_site_fract_z
Pm1 Pm 0.0000 0.0000 0.0000
Nd1 Nd 0.0000 0.0000 0.5000
Bi1 Bi 0.2500 0.2500 0.7500
```

## Properties
- Calculated volume: 106.61 Å³/f.u.
- DFT formation energy: -0.4308 eV/atom

No. 2
Computed, not measured: NiBr2N after structural relaxation at the GGA-PBE level of DFT.

The structure in CIF format:
```
data_NiBr2N
_symmetry_space_group_name_H-M 'F m -3 m'
_symmetry_Int_Tables_number 225
_symmetry_space_group_name_Hall '-F 4 2 3'
_cell_length_a 6.3205
_cell_length_b 6.3205
_cell_length_c 6.3205
_cell_angle_alpha 90.00
_cell_angle_beta 90.00
_cell_angle_gamma 90.00
loop_
_atom_site_label
_atom_site_type_symbol
_atom_site_fract_x
_atom_site_fract_y
_atom_site_fract_z
Ni1 Ni 0.0000 0.0000 0.0000
Br1 Br 0.2500 0.2500 0.2500
N1 N 0.0000 0.0000 0.5000
```

## Properties
- Calculated volume: 63.12 Å³/f.u.
- Raw formation energy: 1712 meV per atom

No. 3
Computed, not measured: ZrInAs2 after structural relaxation at the GGA-PBE level of DFT.

The structure in CIF format:
```
data_ZrInAs2
_symmetry_space_group_name_H-M 'A m m 2'
_symmetry_Int_Tables_number 38
_symmetry_space_group_name_Hall 'A 2 -2'
_cell_length_a 4.0719
_cell_length_b 3.7520
_cell_length_c 11.4258
_cell_angle_alpha 90.00
_cell_angle_beta 90.00
_cell_angle_gamma 90.00
loop_
_atom_site_label
_atom_site_type_symbol
_atom_site_fract_x
_atom_site_fract_y
_atom_site_fract_z
Zr1 Zr 0.0000 0.0000 0.0000
In1 In 0.5000 0.0000 0.2113
As1 As 0.0000 0.0000 0.6901
As2 As 0.5000 0.0000 0.4418
```

## Properties
- Calculated volume: 87.28 Å³/f.u.
- DFT formation energy: -0.5266 eV/atom

No. 4
Computed, not measured: BeCu5 after structural relaxation at the GGA-PBE level of DFT.

The structure in CIF format:
```
data_BeCu5
_symmetry_space_group_name_H-M 'A m m 2'
_symmetry_Int_Tables_number 38
_symmetry_space_group_name_Hall 'A 2 -2'
_cell_length_a 4.0907
_cell_length_b 2.6055
_cell_length_c 12.7785
_cell_angle_alpha 90.00
_cell_angle_beta 90.00
_cell_angle_gamma 90.00
loop_
_atom_site_label
_atom_site_type_symbol
_atom_site_fract_x
_atom_site_fract_y
_atom_site_fract_z
Be1 Be 0.0000 0.0000 0.0000
Cu1 Cu 0.0000 0.0000 0.3412
Cu2 Cu 0.0000 0.0000 0.6609
Cu3 Cu 0.5000 0.0000 0.2175
Cu4 Cu 0.5000 0.0000 0.5477
Cu5 Cu 0.5000 0.0000 0.8853
```

## Properties
- Calculated volume: 68.10 Å³/f.u.
- DFT formation energy: 0.0094 eV/atom

No. 5
Computed, not measured: BeZnIn after structural relaxation at the GGA-PBE level of DFT.

The structure in CIF format:
```
data_BeZnIn
_symmetry_space_group_name_H-M 'I m m 2'
_symmetry_Int_Tables_number 44
_symmetry_space_group_name_Hall 'I 2 -2'
_cell_length_a 3.4852
_cell_length_b 3.8976
_cell_length_c 7.5078
_cell_angle_alpha 90.00
_cell_angle_beta 90.00
_cell_angle_gamma 90.00
loop_
_atom_site_label
_atom_site_type_symbol
_atom_site_fract_x
_atom_site_fract_y
_atom_site_fract_z
Be1 Be 0.0000 0.0000 0.0000
Zn1 Zn 0.0000 0.0000 0.3177
In1 In 0.0000 0.0000 0.6636
```

## Properties
- Calculated volume: 50.99 Å³/f.u.
- DFT formation energy: 0.3656 eV/atom

No. 6
Computed, not measured: Tb3Sm3Tl2 after structural relaxation at the GGA-PBE level of DFT.

The structure in CIF format:
```
data_Tb3Sm3Tl2
_symmetry_space_group_name_H-M 'C m c m'
_symmetry_Int_Tables_number 63
_symmetry_space_group_name_Hall '-C 2c 2'
_cell_length_a 5.2475
_cell_length_b 12.1470
_cell_length_c 15.8752
_cell_angle_alpha 90.00
_cell_angle_beta 90.00
_cell_angle_gamma 90.00
loop_
_atom_site_label
_atom_site_type_symbol
_atom_site_fract_x
_atom_site_fract_y
_atom_site_fract_z
Tb1 Tb 0.0000 0.0525 0.2500
Tb2 Tb 0.0000 0.1359 0.5330
Sm1 Sm 0.0000 0.2295 0.7500
Sm2 Sm 0.0000 0.4594 0.6059
Tl1 Tl 0.0000 0.2740 0.1340
```

## Properties
- Calculated volume: 252.97 Å³/f.u.
- DFT formation energy: -0.1059 eV/atom

No. 7
Computed, not measured: PmY3Th after structural relaxation at the GGA-PBE level of DFT.

The structure in CIF format:
```
data_PmY3Th
_symmetry_space_group_name_H-M 'C 1 2/m 1'
_symmetry_Int_Tables_number 12
_symmetry_space_group_name_Hall '-C 2y'
_cell_length_a 11.5052
_cell_length_b 7.0109
_cell_length_c 8.7631
_cell_angle_alpha 90.00
_cell_angle_beta 109.10
_cell_angle_gamma 90.00
loop_
_atom_site_label
_atom_site_type_symbol
_atom_site_fract_x
_atom_site_fract_y
_atom_site_fract_z
Pm1 Pm 0.0560 0.0000 0.2252
Y1 Y 0.1541 0.2499 0.6166
Y2 Y 0.2392 0.5000 0.9997
Th1 Th 0.0585 0.5000 0.2307
```

## Properties
- Calculated volume: 166.98 Å³/f.u.
- DFT formation energy: 0.1404 eV/atom

No. 8
Computed, not measured: Na2GaPdCl after structural relaxation at the GGA-PBE level of DFT.

The structure in CIF format:
```
data_Na2GaPdCl
_symmetry_space_group_name_H-M 'P 4/m m m'
_symmetry_Int_Tables_number 123
_symmetry_space_group_name_Hall '-P 4 2'
_cell_length_a 4.9446
_cell_length_b 4.9446
_cell_length_c 5.5159
_cell_angle_alpha 90.00
_cell_angle_beta 90.00
_cell_angle_gamma 90.00
loop_
_atom_site_label
_atom_site_type_symbol
_atom_site_fract_x
_atom_site_fract_y
_atom_site_fract_z
Na1 Na 0.0000 0.5000 0.0000
Ga1 Ga 0.0000 0.0000 0.5000
Pd1 Pd 0.5000 0.5000 0.5000
Cl1 Cl 0.0000 0.0000 0.0000
```

## Properties
- Calculated volume: 134.86 Å³/f.u.
- Raw formation energy: -177 meV per atom

No. 9
Computed, not measured: Cs5BaI8 after structural relaxation at the GGA-PBE level of DFT.

The structure in CIF format:
```
data_Cs5BaI8
_symmetry_space_group_name_H-M 'I -4'
_symmetry_Int_Tables_number 82
_symmetry_space_group_name_Hall 'I -4'
_cell_length_a 11.3963
_cell_length_b 11.3963
_cell_length_c 11.3518
_cell_angle_alpha 90.00
_cell_angle_beta 90.00
_cell_angle_gamma 90.00
loop_
_atom_site_label
_atom_site_type_symbol
_atom_site_fract_x
_atom_site_fract_y
_atom_site_fract_z
Cs1 Cs 0.0000 0.0000 0.0000
Cs2 Cs 0.1173 0.7600 0.3646
Ba1 Ba 0.0000 0.5000 0.7500
I1 I 0.0608 0.6543 0.0280
I2 I 0.0804 0.8029 0.7037
```

## Properties
- Calculated volume: 737.16 Å³/f.u.
- Raw formation energy: -1449 meV per atom